The following is a DFT calculation (GGA+U) of a relaxed structure of Ac2TlCrO5.

Calculated values
- crystal system = tetragonal
- total energy (eV per atom) = -7.0839

abc: 7.2347 7.2347 5.9282
angles: 90.00 90.00 90.00
Element x y z (fractional)
Ac 0.1822 0.3178 0.0000
Ac 0.3178 0.8178 0.0000
Ac 0.6822 0.1822 0.0000
Ac 0.8178 0.6822 0.0000
Tl 0.0000 0.0000 0.5000
Tl 0.5000 0.5000 0.5000
Cr 0.0000 0.5000 0.5000
Cr 0.5000 0.0000 0.5000
O 0.0000 0.0000 0.0000
O 0.1274 0.6274 0.2607
O 0.1274 0.6274 0.7393
O 0.3726 0.1274 0.2607
O 0.3726 0.1274 0.7393
O 0.5000 0.5000 0.0000
O 0.6274 0.8726 0.2607
O 0.6274 0.8726 0.7393
O 0.8726 0.3726 0.2607
O 0.8726 0.3726 0.7393